Crystalline Sr2AuS at its relaxed geometry. Source: Alexandria via LeMat-Bulk, functional GGA-PBE.

## Properties
calculated volume	365.1	Å³ per cell
total DFT energy (no corrections)	-4.0129	eV/atom
E_form (uncorrected)	-1.32	eV per atom

abc: 4.3425 4.3425 22.3543
angles: 90.00 90.00 120.00
Space group R-3m (No. 166, hexagonal axes)
Symmetry-distinct sites (fractional):
Sr 0.0000 0.0000 0.2450 (multiplicity 6)
Au 0.0000 0.0000 0.0000 (multiplicity 3)
S 0.0000 0.0000 0.5000 (multiplicity 3)